6
Lattice="-3.0758 1.9121 -2.2749 -2.4870 0.1456 3.4850 5.8851 9.2218 3.8147" Properties=species:S:1:pos:R:3 comment="Th2HgTe3 (PBE, relaxed)" total_magnetization_mub_per_atom=0.0000 vol_a3_per_atom=34.8 formation_energy_uncorrected_ev_per_atom=-0.845 density_g_cm3=8.3 pbc="T T T"
Te 2.9594 6.9288 1.8226
Te -0.1501 4.2051 -0.2828
Te -2.7814 1.0288 0.6051
Th 0.6299 9.0157 2.7059
Th -0.3077 2.2638 2.3188
Hg 0.0000 0.0000 0.0000

=====

15
Lattice="9.1632 0.0005 0.0004 -4.5812 7.9285 -0.0297 0.0001 -5.2545 8.0944" Properties=species:S:1:pos:R:3 comment="Th3Tl3HgTe8 (PBE, relaxed)" total_magnetization_mub_per_atom=0.0000 vol_a3_per_atom=39.1 formation_energy_uncorrected_ev_per_atom=-0.760 density_g_cm3=7.2 pbc="T T T"
Th 2.2910 1.3373 4.0326
Th 4.5816 -2.6270 4.0474
Th -2.2905 1.3370 4.0324
Te 4.5819 0.0234 5.8481
Te -2.1915 3.9298 5.7555
Te 6.7735 -1.2552 2.3097
Te 0.0004 0.1316 5.7668
Te 4.5817 2.5429 2.2984
Te 2.3895 -1.2554 2.3098
Te 0.0002 2.6511 2.2171
Te 2.1926 3.9299 5.7554
Tl 0.0000 0.0000 0.0000
Tl 2.2910 3.9645 -0.0146
Tl -2.2906 3.9643 -0.0148
Hg 0.0000 -2.6272 4.0472

=====

8
Lattice="3.7370 0.0000 0.0000 -1.8685 3.2364 0.0000 0.0000 0.0000 22.2737" Properties=species:S:1:pos:R:3 comment="TiHgTe2 (PBE, relaxed)" total_magnetization_mub_per_atom=0.0000 vol_a3_per_atom=33.7 formation_energy_uncorrected_ev_per_atom=-0.504 density_g_cm3=6.2 pbc="T T T"
Te 0.0000 2.1576 1.7467
Te 1.8685 1.0788 12.8835
Te 0.0000 2.1576 9.3901
Te 1.8685 1.0788 20.5270
Hg 0.0000 2.1576 5.5684
Hg 1.8685 1.0788 16.7052
Ti 0.0000 0.0000 11.1368
Ti 0.0000 0.0000 0.0000

=====

13
Lattice="-6.8631 1.7360 2.5488 -6.0988 -2.2023 -3.8165 -4.5018 -7.6224 4.1755" Properties=species:S:1:pos:R:3 comment="Ti4HgTe8 (PBE, relaxed)" total_magnetization_mub_per_atom=0.0000 vol_a3_per_atom=33.1 formation_energy_uncorrected_ev_per_atom=-0.630 density_g_cm3=5.5 pbc="T T T"
Ti -6.4809 -0.2331 -0.6339
Ti -3.0494 -1.1011 -1.9083
Ti 0.0000 0.0000 0.0000
Ti -3.4315 0.8680 1.2744
Te -10.0571 -5.3551 4.3280
Te -4.3566 -1.6382 0.4905
Te -7.7885 -0.7655 1.7608
Te -13.1071 -6.4504 2.4173
Te -6.6274 -6.2226 3.0542
Te -7.4066 -2.7336 -1.4202
Te -10.8363 -1.8660 -0.1465
Te -9.6752 -7.3231 1.1470
Hg -8.7318 -4.0443 1.4539

=====

5
Lattice="5.0725 0.0000 0.0000 0.0000 5.0725 0.0000 0.0000 0.0000 5.0725" Properties=species:S:1:pos:R:3 comment="Ti3HgTe (PBE, relaxed)" total_magnetization_mub_per_atom=0.8022 vol_a3_per_atom=26.1 formation_energy_uncorrected_ev_per_atom=0.807 density_g_cm3=6.0 pbc="T T T"
Ti 2.5362 0.0000 0.0000
Ti 0.0000 0.0000 2.5362
Ti 0.0000 2.5362 0.0000
Hg 0.0000 0.0000 0.0000
Te 2.5362 2.5362 2.5362

=====

10
Lattice="7.0510 0.0000 0.0000 0.0000 7.0510 0.0000 0.0000 0.0000 6.4492" Properties=species:S:1:pos:R:3 comment="TiHg2Te2 (PBE, relaxed)" total_magnetization_mub_per_atom=0.0872 vol_a3_per_atom=32.1 formation_energy_uncorrected_ev_per_atom=-0.014 density_g_cm3=7.3 pbc="T T T"
Hg 5.9028 2.3773 3.2246
Hg 1.1482 4.6737 3.2246
Hg 4.6737 5.9028 3.2246
Hg 2.3773 1.1482 3.2246
Te 5.9503 4.6262 0.0000
Te 4.6262 1.1007 0.0000
Te 2.4248 5.9503 0.0000
Te 1.1007 2.4248 0.0000
Ti 3.5255 3.5255 0.0000
Ti 0.0000 0.0000 0.0000

=====

- Number 1 is which compound?
  Th2HgTe3